## ErNpRuPt (PBE-GGA)

Data for ErNpRuPt after structural relaxation.

Properties
The density of states at the Fermi level is 6.0 states/eV per cell. The calculated formation energy is -0.477 eV per atom. The space-group type is No. 216.

Structure (POSCAR):
```
ErNpRuPt
1.0
-0.7670 -3.1491 -3.5911
2.8357 -3.8933 -0.4498
-1.7592 -4.3994 0.9755
Pt Er Np Ru
1 1 1 1
Direct
0.5000 0.5000 0.5000
0.2500 0.2500 0.2500
0.7500 0.7500 0.7500
0.0000 0.0000 0.0000
```


## ErNp2Si2Pt7 (PBE-GGA)

Data for ErNp2Si2Pt7 after structural relaxation.

Properties
The density of states at the Fermi level is 21.1 states/eV per cell. Its electronic total energy is -7.81 eV per atom. The space-group type is No. 12.

Structure (POSCAR):
```
ErNp2Si2Pt7
1.0
4.0336 0.0204 -0.0831
0.0253 4.0336 -0.0831
1.6887 1.6867 13.6439
Pt Np Er Si
7 2 1 2
Direct
0.5556 0.0564 0.8411
0.3697 0.3697 0.4263
0.0564 0.5556 0.8411
0.5000 0.5000 0.0000
0.4444 0.9436 0.1589
0.9436 0.4444 0.1589
0.6303 0.6303 0.5737
0.1135 0.1135 0.6410
0.8865 0.8865 0.3590
0.0000 0.0000 0.0000
0.4103 0.4103 0.2538
0.5897 0.5897 0.7462
```


## ErPu2Np (PBE-GGA)

Data for ErPu2Np after structural relaxation.

Properties
The density of states at the Fermi level is 10.4 states/eV per cell. The calculated formation energy is 0.578 eV per atom. The space-group type is No. 166.

Structure (POSCAR):
```
ErPu2Np
1.0
3.6781 0.0000 0.0000
1.8390 3.1853 0.0000
1.8390 1.0618 8.7365
Er Pu Np
1 2 1
Direct
0.0000 0.0000 0.0000
0.1170 0.1170 0.6490
0.8830 0.8830 0.3510
0.5000 0.5000 0.5000
```


## ErPu2NpSb4 (PBE-GGA)

Data for ErPu2NpSb4 after structural relaxation.

Properties
The density of states at the Fermi level is 42.0 states/eV per cell. Its electronic total energy is -8.43 eV per atom. The space-group type is No. 10.

Structure (POSCAR):
```
ErPu2NpSb4
1.0
-3.5956 -0.7926 2.4054
1.1689 -7.5195 -0.7305
3.6011 2.5160 6.2122
Sb Er Pu Np
4 1 2 1
Direct
0.5000 0.2502 0.2466
0.5000 0.7498 0.7534
0.0000 0.2514 0.7540
0.0000 0.7486 0.2460
0.5000 0.5000 0.0000
0.0000 0.5000 0.5000
0.5000 0.0000 0.5000
0.0000 0.0000 0.0000
```


## ErPu2NpSe4 (PBE-GGA)

Data for ErPu2NpSe4 after structural relaxation.

Properties
The density of states at the Fermi level is 28.5 states/eV per cell. Its electronic total energy is -8.96 eV per atom. The space-group type is No. 10.

Structure (POSCAR):
```
ErPu2NpSe4
1.0
-0.8229 3.4895 1.9879
-0.6032 -3.6182 6.1017
6.3496 -0.3357 3.2176
Np Er Pu Se
1 1 2 4
Direct
0.0000 0.5000 0.5000
0.5000 0.5000 0.0000
0.0000 0.0000 0.0000
0.5000 0.0000 0.5000
0.5000 0.2548 0.7525
0.5000 0.7452 0.2475
0.0000 0.7440 0.7554
0.0000 0.2560 0.2446
```


## ErPuNp2Se4 (PBE-GGA)

Data for ErPuNp2Se4 after structural relaxation.

Properties
The density of states at the Fermi level is 24.6 states/eV per cell. Its electronic total energy is -8.69 eV per atom. The space-group type is No. 10.

Structure (POSCAR):
```
ErPuNp2Se4
1.0
4.0944 0.0000 0.0000
0.0000 7.1058 0.1307
0.0000 -2.4758 6.6383
Se Np Pu Er
4 2 1 1
Direct
0.5000 0.2460 0.2468
0.0000 0.2475 0.7500
0.5000 0.7540 0.7532
0.0000 0.7525 0.2500
0.5000 0.0000 0.5000
0.0000 0.5000 0.5000
0.5000 0.5000 0.0000
0.0000 0.0000 0.0000
```


## Rb3Er2NpS6 (PBE-GGA)

Data for Rb3Er2NpS6 after structural relaxation.

Properties
The density of states at the Fermi level is 7.7 states/eV per cell. Its electronic total energy is -5.82 eV per atom. The space-group type is No. 12.

Structure (POSCAR):
```
Rb3Er2NpS6
1.0
-3.0798 -0.0962 6.3662
-2.8338 -3.6602 -5.3475
6.1823 -4.8663 1.6105
Rb S Er Np
3 6 2 1
Direct
0.5000 0.5000 0.5000
0.1668 0.8332 0.5000
0.8332 0.1668 0.5000
0.5973 0.9359 0.8090
0.7249 0.7249 0.1914
0.9359 0.5973 0.8090
0.0641 0.4027 0.1910
0.4027 0.0641 0.1910
0.2751 0.2751 0.8086
0.6660 0.3340 0.0000
0.3340 0.6660 0.0000
0.0000 0.0000 0.0000
```


## Rb3ErNp3S8 (PBE-GGA)

Data for Rb3ErNp3S8 after structural relaxation.

Properties
The density of states at the Fermi level is 27.6 states/eV per cell. Its electronic total energy is -6.80 eV per atom. The space-group type is No. 166.

Structure (POSCAR):
```
Rb3ErNp3S8
1.0
8.1131 0.0001 0.0000
-4.0564 7.0257 -0.0269
0.0000 -4.6563 7.7966
S Np Rb Er
8 3 3 1
Direct
0.7293 0.4585 0.6876
0.2278 0.9577 0.6855
0.7722 0.0423 0.3145
0.2701 0.0423 0.3145
0.2707 0.5415 0.3124
0.2279 0.4558 0.6855
0.7721 0.5442 0.3145
0.7299 0.9577 0.6855
0.5000 0.0000 0.5000
0.0000 0.5000 0.5000
0.5000 0.5000 0.5000
0.0000 0.5000 0.0000
0.0000 0.0000 0.0000
0.5000 0.5000 0.0000
0.0000 0.0000 0.5000
```